An optimized crystal structure of NiTeRh2O. Source: Alexandria, functional PBE with a Hubbard U.

Geometry as POSCAR:
```
NiTeRh2O
1.0
4.639 0.000 0.000
0.000 4.639 0.000
0.000 0.000 4.578
Ni Te Rh O
1 1 2 1
Direct
0.000 0.000 0.000
0.000 0.000 0.500
0.000 0.500 0.000
0.500 0.000 0.000
0.500 0.500 0.500
```

Results
Uncorrected energy in eV per atom: -3.591
Symmetry: P4/mmm, No. 123